Entry from Alexandria via LeMat-Bulk: a relaxed RbMgBF6 crystal (PBE-GGA).

Geometry as CIF:
```
data_RbMgBF6
_cell_length_a 4.9478
_cell_length_b 4.9478
_cell_length_c 6.0603
_cell_angle_alpha 90.00
_cell_angle_beta 90.00
_cell_angle_gamma 120.00
_symmetry_space_group_name_H-M 'P 3 1 2'
_symmetry_Int_Tables_number 149
loop_
_symmetry_equiv_pos_as_xyz
'x,y,z'
'-y,x-y,z'
'-x+y,-x,z'
'-y,-x,-z'
'-x+y,y,-z'
'x,x-y,-z'
loop_
_atom_site_label
_atom_site_type_symbol
_atom_site_fract_x
_atom_site_fract_y
_atom_site_fract_z
_atom_site_occupancy
Rb1 Rb 0.0000 0.0000 0.0000 1
Mg1 Mg 0.3333 0.6667 0.5000 1
B1 B 0.6667 0.3333 0.5000 1
F1 F 0.4049 0.0534 0.6577 1
```

Properties
**Energy relative to the elements, uncorrected**: -2.794 eV/atom